# 1
This record from the Open Quantum Materials Database describes a relaxed YNbAlCu crystal. The functional is GGA-PBE.

Structure (extended XYZ):
```
4
Lattice="0.000 3.381 3.381 3.381 0.000 3.381 3.381 3.381 0.000" Properties=species:S:1:pos:R:3 pbc="T T T"
Al 0.000 0.000 0.000
Cu 5.072 5.072 5.072
Nb 1.691 1.691 1.691
Y 3.381 3.381 3.381
```

Summary:
The excess energy over the best structure of this formula in the dataset is 0.000 eV/atom. As for the space group: F-43m, No. 216. Its spin magnetization is 0.665 μB per atom.

***

# 2
This record from the Open Quantum Materials Database describes a relaxed NdAlCu crystal. The functional is GGA-PBE.

Structure (extended XYZ):
```
9
Lattice="7.057 0.000 0.000 -3.529 6.112 0.000 0.000 0.000 4.238" Properties=species:S:1:pos:R:3 pbc="T T T"
Al 1.636 0.000 0.000
Al -0.818 1.417 0.000
Al 2.711 4.695 0.000
Cu 3.529 2.037 0.000
Cu 0.000 4.075 0.000
Cu 0.000 0.000 2.119
Nd 4.102 0.000 2.119
Nd 1.478 2.560 2.119
Nd -2.051 3.552 2.119
```

Summary:
As for the space group: P-62m, No. 189. Its spin magnetization is 0.001 μB per atom. The calculation puts the uncorrected energy at -40.08 eV per cell.

***

# 3
This record from the Open Quantum Materials Database describes a relaxed NdAl2Cu9 crystal. The functional is GGA-PBE.

Structure (extended XYZ):
```
24
Lattice="0.000 0.000 -6.604 5.074 5.074 3.302 5.074 -5.074 -3.302" Properties=species:S:1:pos:R:3 pbc="T T T"
Al 0.000 0.000 0.000
Al 2.537 2.537 -1.651
Al 2.537 -2.537 -4.953
Al 5.074 0.000 -3.302
Cu 2.109 1.292 0.453
Cu 1.245 0.428 -2.104
Cu 1.245 -0.428 -4.500
Cu 2.965 1.292 -3.755
Cu 5.074 2.537 -2.476
Cu 2.109 -1.292 -7.057
Cu 3.829 0.428 -1.198
Cu 2.965 -1.292 -2.849
Cu 3.829 -0.428 -5.406
Cu 6.319 0.428 -1.198
Cu 7.184 1.292 -3.755
Cu 8.039 1.292 0.453
Cu 6.319 -0.428 -5.406
Cu 5.074 -2.537 -4.127
Cu 8.903 0.428 -2.104
Cu 7.184 -1.292 -2.849
Cu 8.039 -1.292 -7.057
Cu 8.903 -0.428 -4.500
Nd 5.074 2.537 0.825
Nd 5.074 -2.537 -7.429
```

Summary:
As for the space group: I4_1/amd, No. 141. Its spin magnetization is 0.000 μB per atom. The calculation puts the uncorrected energy at -96.11 eV per cell.

***

# 4
This record from the Open Quantum Materials Database describes a relaxed NdAlCu crystal. The functional is GGA-PBE.

Structure (extended XYZ):
```
9
Lattice="-0.023 6.862 0.280 -4.325 -3.611 3.927 3.114 -0.125 3.314" Properties=species:S:1:pos:R:3 pbc="T T T"
Al -1.457 3.371 1.496
Al -2.891 -0.120 2.711
Al 1.557 -0.062 1.657
Cu -0.005 1.558 0.064
Cu -0.982 -0.820 0.892
Cu -3.360 2.513 3.252
Nd 1.544 3.818 1.815
Nd -0.332 1.350 3.485
Nd -0.889 -2.105 3.878
```

Summary:
As for the space group: P-62m, No. 189. Its spin magnetization is 0.001 μB per atom. The calculation puts the uncorrected energy at -38.71 eV per cell.

***

# 5
This record from the Open Quantum Materials Database describes a relaxed NdAl3Cu crystal. The functional is GGA-PBE.

Structure (extended XYZ):
```
5
Lattice="-1.419 -5.166 2.924 1.463 -0.819 5.869 -2.648 4.178 -3.577" Properties=species:S:1:pos:R:3 pbc="T T T"
Al 0.027 -3.550 5.215
Al -2.022 -1.996 1.881
Al -0.581 0.177 3.353
Cu 0.016 -2.207 3.242
Nd 0.000 -0.001 0.001
```

Summary:
As for the space group: I4mm, No. 107. Its spin magnetization is 0.001 μB per atom. The calculation puts the uncorrected energy at -22.07 eV per cell.

***

# 6
This record from the Open Quantum Materials Database describes a relaxed NdAl2Cu2 crystal. The functional is GGA-PBE.

Structure (extended XYZ):
```
5
Lattice="3.218 -1.206 4.678 4.122 3.847 1.379 -5.660 0.183 -1.272" Properties=species:S:1:pos:R:3 pbc="T T T"
Al 2.706 0.974 2.233
Al 4.634 1.667 3.824
Cu 0.614 0.149 3.217
Cu 1.066 2.675 1.568
Nd 0.000 0.000 0.000
```

Summary:
As for the space group: I4/mmm, No. 139. Its spin magnetization is 0.000 μB per atom. The calculation puts the uncorrected energy at -21.50 eV per cell.